(1)
Compound: Sr2Si6Pd
Source: the Alexandria database
Functional: GGA-PBE
Structure: relaxed

a b c (Å): 5.679 5.679 11.802
angles (deg): 96.65 96.65 92.76
Element x y z (fractional)
Pd 0.199 0.199 0.800
Pd 0.801 0.801 0.200
Si 0.941 0.941 0.900
Si 0.054 0.496 0.100
Si 0.507 0.507 0.899
Si 0.504 0.946 0.900
Si 0.642 0.642 0.550
Si 0.358 0.358 0.450
Si 0.138 0.138 0.564
Si 0.493 0.493 0.101
Si 0.496 0.054 0.100
Si 0.862 0.862 0.436
Si 0.946 0.504 0.900
Si 0.059 0.059 0.100
Sr 0.332 0.830 0.324
Sr 0.668 0.170 0.676
Sr 0.830 0.332 0.324
Sr 0.170 0.668 0.676

---

(2)
Compound: SrSiPd
Source: the Alexandria database
Functional: GGA-PBE
Structure: relaxed

a b c (Å): 6.563 6.563 6.563
angles (deg): 90.00 90.00 90.00
Element x y z (fractional)
Pd 0.910 0.090 0.590
Pd 0.410 0.410 0.410
Pd 0.090 0.590 0.910
Pd 0.590 0.910 0.090
Si 0.336 0.664 0.164
Si 0.164 0.336 0.664
Si 0.664 0.164 0.336
Si 0.836 0.836 0.836
Sr 0.128 0.128 0.128
Sr 0.372 0.872 0.628
Sr 0.628 0.372 0.872
Sr 0.872 0.628 0.372

---

(3)
Compound: SrSiPd6
Source: the Alexandria database
Functional: GGA-PBE
Structure: relaxed

a b c (Å): 6.181 6.181 5.953
angles (deg): 58.73 58.73 60.00
Element x y z (fractional)
Pd 0.111 0.549 0.229
Pd 0.111 0.111 0.229
Pd 0.889 0.451 0.771
Pd 0.549 0.111 0.229
Pd 0.889 0.889 0.771
Pd 0.451 0.889 0.771
Sr 0.500 0.500 0.500
Si 0.000 0.000 0.000

---

(4)
Compound: Sr2Si4Pd5
Source: the Alexandria database
Functional: GGA-PBE
Structure: relaxed

a b c (Å): 5.892 5.947 7.605
angles (deg): 78.94 67.21 60.31
Element x y z (fractional)
Pd 0.500 0.000 0.000
Pd 0.250 0.500 0.500
Pd 0.500 0.500 0.000
Pd 0.000 0.500 0.000
Pd 0.750 0.500 0.500
Si 0.787 0.683 0.743
Si 0.213 0.317 0.257
Si 0.530 0.683 0.257
Si 0.470 0.317 0.743
Sr 0.861 0.000 0.277
Sr 0.139 0.000 0.723

---

(5)
Compound: Sr3Si2Pd
Source: the Alexandria database
Functional: GGA-PBE
Structure: relaxed

a b c (Å): 6.267 11.133 10.484
angles (deg): 90.00 108.02 90.00
Element x y z (fractional)
Si 0.799 0.365 0.638
Si 0.299 0.135 0.138
Si 0.398 0.012 0.726
Si 0.898 0.488 0.226
Si 0.102 0.512 0.774
Si 0.602 0.988 0.274
Si 0.701 0.865 0.862
Si 0.201 0.635 0.362
Sr 0.179 0.231 0.842
Sr 0.753 0.110 0.026
Sr 0.247 0.890 0.974
Sr 0.747 0.610 0.474
Sr 0.821 0.769 0.158
Sr 0.310 0.528 0.110
Sr 0.679 0.269 0.342
Sr 0.690 0.472 0.890
Sr 0.321 0.731 0.658
Sr 0.190 0.028 0.390
Sr 0.810 0.972 0.610
Sr 0.253 0.390 0.526
Pd 0.397 0.798 0.287
Pd 0.897 0.702 0.787
Pd 0.103 0.298 0.213
Pd 0.603 0.202 0.713

---

(6)
Compound: SrSi2Pd
Source: the Alexandria database
Functional: GGA-PBE
Structure: relaxed

a b c (Å): 4.815 4.815 8.980
angles (deg): 74.45 74.45 90.00
Element x y z (fractional)
Sr 0.250 0.750 0.500
Sr 0.500 0.500 0.000
Si 0.375 0.126 0.750
Si 0.874 0.125 0.250
Si 0.876 0.625 0.250
Si 0.875 0.124 0.750
Pd 0.750 0.250 0.500
Pd 0.000 0.000 0.000

---

(7)
Compound: SrSiPd
Source: the Alexandria database
Functional: GGA-PBE
Structure: relaxed

a b c (Å): 4.572 4.236 4.236
angles (deg): 120.00 90.00 90.00
Element x y z (fractional)
Sr 0.667 0.333 0.667
Pd 0.167 0.000 0.000
Si 0.167 0.667 0.333

---

(8)
Compound: SrSi3Pd
Source: the Alexandria database
Functional: GGA-PBE
Structure: relaxed

a b c (Å): 4.852 4.852 4.852
angles (deg): 90.00 90.00 90.00
Element x y z (fractional)
Si 0.000 0.500 0.000
Si 0.000 0.000 0.500
Si 0.500 0.000 0.000
Sr 0.500 0.500 0.500
Pd 0.000 0.000 0.000

---

(9)
Compound: SrSi2Pd5
Source: the Alexandria database
Functional: GGA-PBE
Structure: relaxed

a b c (Å): 3.950 6.479 6.479
angles (deg): 65.72 72.25 72.25
Element x y z (fractional)
Si 0.236 0.264 0.264
Si 0.764 0.736 0.736
Pd 0.344 0.459 0.852
Pd 0.656 0.541 0.148
Pd 0.656 0.148 0.541
Pd 0.000 0.500 0.500
Pd 0.344 0.852 0.459
Sr 0.000 0.000 0.000

---

(10)
Compound: Sr3Si3Pd2
Source: the Alexandria database
Functional: GGA-PBE
Structure: relaxed

a b c (Å): 4.374 6.177 15.279
angles (deg): 90.00 90.00 110.74
Element x y z (fractional)
Sr 0.066 0.132 0.608
Sr 0.934 0.868 0.392
Sr 0.934 0.868 0.108
Sr 0.641 0.282 0.250
Sr 0.359 0.718 0.750
Sr 0.066 0.132 0.892
Pd 0.776 0.553 0.603
Pd 0.224 0.447 0.397
Pd 0.224 0.447 0.103
Pd 0.776 0.553 0.897
Si 0.332 0.664 0.539
Si 0.665 0.330 0.750
Si 0.668 0.336 0.461
Si 0.332 0.664 0.961
Si 0.335 0.670 0.250
Si 0.668 0.336 0.039

---

(11)
Compound: SrSi3Pd
Source: the Alexandria database
Functional: GGA-PBE
Structure: relaxed

a b c (Å): 5.357 5.357 5.357
angles (deg): 90.00 90.00 90.00
Element x y z (fractional)
Si 0.000 0.500 0.000
Si 0.000 0.000 0.500
Si 0.500 0.000 0.000
Pd 0.500 0.500 0.500
Sr 0.000 0.000 0.000

---

(12)
Compound: SrSiPd2
Source: the Alexandria database
Functional: GGA-PBE
Structure: relaxed

a b c (Å): 5.203 5.203 8.608
angles (deg): 72.41 72.41 90.00
Element x y z (fractional)
Pd 0.362 0.625 0.250
Pd 0.388 0.125 0.250
Pd 0.375 0.612 0.750
Pd 0.875 0.638 0.750
Sr 0.750 0.250 0.500
Sr 0.000 0.000 0.000
Si 0.250 0.750 0.500
Si 0.500 0.500 0.000

---

Across the entries above, DOS at the Fermi energy takes the values 0.356; 0.468; 0.416; 0.601; 0.355; 0.327; 1.092; 0.298; 0.334; 0.656; 0.846; 0.727 states/eV per atom, respectively.
Across the entries above, ρ takes the values 3.99; 5.22; 7.95; 6.38; 4.06; 4.31; 5.19; 4.05; 7.97; 4.82; 3.01; 5.18 Mg/m³, respectively.
Across the entries above, energy relative to the elements, uncorrected takes the values -0.33; -0.75; -0.34; -0.69; -0.50; -0.43; -0.66; 0.17; -0.73; -0.56; 1.91; -0.49 eV per atom, respectively.